VASP calculation (PBE+U) on NbP6W3O24 after structural relaxation.

The calculation puts the mass density at 4.01 g/cm³. Its final energy is -774.4 eV for the cell shown. As for the volume: 14.775 Å³/atom.

Lattice parameters (Å, degrees): 8.8255 8.8255 22.3418 90.00 90.00 120.00
Space group R3 (No. 146, hexagonal axes)
Asymmetric unit:
Nb 0.0000 0.0000 0.0000 [3 per cell]
P 0.0065 0.2873 0.1083 [9 per cell]
P 0.0486 0.6688 0.2741 [9 per cell]
W 0.0000 0.0000 0.2144 [3 per cell]
W 0.0000 0.0000 0.5003 [3 per cell]
W 0.0000 0.0000 0.7156 [3 per cell]
O 0.0006 0.8133 0.2637 [9 per cell]
O 0.0041 0.1888 0.1662 [9 per cell]
O 0.0231 0.8220 0.5495 [9 per cell]
O 0.0434 0.2009 0.0538 [9 per cell]
O 0.0465 0.2168 0.7705 [9 per cell]
O 0.1669 0.4749 0.1140 [9 per cell]
O 0.1669 0.7190 0.3277 [9 per cell]
O 0.1719 0.7107 0.6172 [9 per cell]